Entry 1:
# LaNbOs2

LaNbOs2 after structural relaxation (GGA-PBE, Alexandria).

Properties
N(E_F)   2.1 states/eV/f.u.
Spin magnetization   0.0 μB/cell
DFT formation energy   -8 kJ/mol of formula units

Lattice parameters (Å, degrees): 3.206 3.206 7.451 90.00 90.00 90.00
Space group P4/mmm (No. 123)
Unique sites:
La (0.000, 0.000, 0.000)
Nb (0.000, 0.000, 0.500)
Os (0.500, 0.500, 0.296)


Entry 2:
# LaNb2Os2

LaNb2Os2 after structural relaxation (GGA-PBE, Alexandria).

Properties
ΔE to the lowest computed polymorph   22.75 kJ per mole of atoms
N(E_F)   4.2 states/eV/f.u.
Spin magnetization   0.0 μB/cell
DFT formation energy   4 kJ/mol of formula units

Lattice parameters (Å, degrees): 7.963 7.963 2.989 90.00 90.00 90.00
Space group P4/mbm (No. 127)
Unique sites:
La (0.000, 0.000, 0.000)
Nb (0.145, 0.355, 0.000)
Os (0.142, 0.642, 0.500)